Version A
# CrAgPt2

CrAgPt2 after structural relaxation (PBE, the Alexandria database).

POSCAR file:
```
CrAgPt2
1.0
4.7997 -0.0104 0.0000
1.4658 4.5704 0.0000
-3.1327 -2.2800 2.8328
Pt Ag Cr
2 1 1
Cartesian
3.1327 2.2800 0.0000
0.0000 0.0000 0.0000
0.7329 2.2852 1.4164
2.3999 -0.0052 1.4164
```

Size of the total moment in μB per formula unit: 2.9
Fermi-level density of states in states/eV/cell: 3.1


Version B
# CrAgPt2

CrAgPt2 after structural relaxation (PBE, the Alexandria database).

POSCAR file:
```
CrAgPt2
1.0
-3.4478 0.4333 1.9915
-1.2164 -3.5779 -1.3275
1.5908 -1.6998 3.1238
Pt Cr Ag
2 1 1
Cartesian
0.0000 0.0000 0.0000
-2.3321 -1.5723 0.3320
0.1872 -2.6389 0.8982
-0.9285 -0.6333 2.5577
```

Size of the total moment in μB per formula unit: 3.3
Fermi-level density of states in states/eV/cell: 1.7


Version C
# CrAgPt2

CrAgPt2 after structural relaxation (PBE, the Alexandria database).

POSCAR file:
```
CrAgPt2
1.0
4.8913 -0.0776 -0.0227
1.7840 4.5550 0.0227
-3.3254 -2.2570 2.7891
Pt Ag Cr
2 1 1
Cartesian
2.4518 -0.0480 1.3832
6.6751 4.4772 0.0000
3.3380 2.2389 0.0000
0.8982 2.2684 1.4059
```

Size of the total moment in μB per formula unit: 2.9
Fermi-level density of states in states/eV/cell: 3.7


Most stable to least stable, the ends of the list are version B and version C.


Version A
# CrAgPt3

CrAgPt3 after structural relaxation (PBE, the Alexandria database).

POSCAR file:
```
CrAgPt3
1.0
4.8666 0.0000 0.0000
0.0000 4.8666 0.0000
0.0000 0.0000 4.8666
Ag Pt Cr
1 3 1
Cartesian
0.0000 0.0000 0.0000
0.0000 0.0000 2.4333
0.0000 2.4333 0.0000
2.4333 0.0000 0.0000
2.4333 2.4333 2.4333
```

Size of the total moment in μB per formula unit: 4.2
Fermi-level density of states in states/eV/cell: 6.2


Version B
# CrAgPt3

CrAgPt3 after structural relaxation (PBE, the Alexandria database).

POSCAR file:
```
CrAgPt3
1.0
4.5986 0.0000 0.0000
0.0000 4.5986 0.0000
0.0000 0.0000 4.5986
Ag Pt Cr
1 3 1
Cartesian
2.2993 2.2993 2.2993
0.0000 2.2993 0.0000
0.0000 0.0000 2.2993
2.2993 0.0000 0.0000
0.0000 0.0000 0.0000
```

Size of the total moment in μB per formula unit: 0.0
Fermi-level density of states in states/eV/cell: 4.6


Most stable to least stable, the ends of the list are version B and version A.


Version A
# RbCrAg2

RbCrAg2 after structural relaxation (PBE, the Alexandria database).

POSCAR file:
```
RbCrAg2
1.0
0.0000 3.7338 3.7338
3.7338 0.0000 3.7338
3.7338 3.7338 0.0000
Rb Cr Ag
1 1 2
Cartesian
3.7338 3.7338 3.7338
0.0000 0.0000 0.0000
5.6008 5.6008 5.6008
1.8669 1.8669 1.8669
```

Size of the total moment in μB per formula unit: 4.7
Fermi-level density of states in states/eV/cell: 1.4


Version B
# RbCrAg2

RbCrAg2 after structural relaxation (PBE, the Alexandria database).

POSCAR file:
```
RbCrAg2
1.0
-3.8284 3.7079 -1.1951
-3.8830 -3.4964 1.5908
-3.3079 3.5233 9.0463
Cr Rb Ag
2 2 4
Cartesian
-5.5233 0.0663 5.4175
-3.8557 0.1058 0.1979
0.0000 0.0000 0.0000
-5.4960 3.6685 4.0246
-8.2581 3.7012 6.7335
-4.6890 0.0856 2.8078
-2.7484 1.8347 2.0121
-6.3429 1.8481 7.3307
```

Size of the total moment in μB per formula unit: 5.0
Fermi-level density of states in states/eV/cell: 2.9


Most stable to least stable, the ends of the list are version B and version A.


Version A
# RbCrAg3

RbCrAg3 after structural relaxation (PBE, the Alexandria database).

POSCAR file:
```
RbCrAg3
1.0
-1.3898 4.7034 3.0638
-4.3800 -2.8827 2.4386
3.5107 -1.7345 4.2552
Cr Ag Rb
1 3 1
Cartesian
-1.1295 0.0431 4.8788
-0.6949 2.3517 1.5319
1.7554 -0.8673 2.1276
-2.1900 -1.4413 1.2193
0.0000 0.0000 0.0000
```

Size of the total moment in μB per formula unit: 4.3
Fermi-level density of states in states/eV/cell: 3.5


Version B
# RbCrAg3

RbCrAg3 after structural relaxation (PBE, the Alexandria database).

POSCAR file:
```
RbCrAg3
1.0
-2.2160 4.2859 -2.2182
-3.2974 0.4375 4.1395
3.5237 3.1048 2.4787
Ag Cr Rb
3 1 1
Cartesian
1.7618 1.5524 1.2393
-1.1080 2.1429 -1.1091
-1.6487 0.2188 2.0698
0.0000 0.0000 0.0000
-0.9949 3.9141 2.2000
```

Size of the total moment in μB per formula unit: 4.6
Fermi-level density of states in states/eV/cell: 1.8


Most stable to least stable, the ends of the list are version B and version A.


Version A
# CrReAg2

CrReAg2 after structural relaxation (PBE, the Alexandria database).

POSCAR file:
```
CrReAg2
1.0
-1.8363 -1.6415 1.5992
-0.7037 -1.5464 -2.3953
5.5646 -4.7992 1.4637
Cr Re Ag
1 1 2
Cartesian
2.9782 -2.5685 0.7833
2.6501 -4.9748 0.6330
0.2171 -2.8765 -0.0069
5.5262 -4.7660 1.4535
```

Size of the total moment in μB per formula unit: 0.6
Fermi-level density of states in states/eV/cell: 2.6


Version B
# CrReAg2

CrReAg2 after structural relaxation (PBE, the Alexandria database).

POSCAR file:
```
CrReAg2
1.0
-3.9194 -3.8688 -7.8842
-2.7384 -6.1850 -6.8364
-5.2805 -5.3898 -5.9629
Cr Re Ag
1 1 2
Cartesian
-2.9846 -3.8609 -5.1709
-8.9538 -11.5827 -15.5127
-5.9853 -7.7427 -10.3697
-11.9222 -15.4227 -20.6556
```

Size of the total moment in μB per formula unit: 3.6
Fermi-level density of states in states/eV/cell: 5.5


Most stable to least stable, the ends of the list are version A and version B.


Version A
# CrReAg2

CrReAg2 after structural relaxation (PBE, the Alexandria database).

POSCAR file:
```
CrReAg2
1.0
-0.6536 4.5661 3.0946
-4.4783 3.2630 -0.3880
2.2098 -4.9837 1.0641
Re Ag Cr
1 2 1
Cartesian
-2.4172 1.0969 1.0147
-5.1055 7.7888 2.6927
-2.5924 3.9548 1.3672
-0.5049 1.7484 2.7560
```

Size of the total moment in μB per formula unit: 1.8
Fermi-level density of states in states/eV/cell: 3.2


Version B
# CrReAg2

CrReAg2 after structural relaxation (PBE, the Alexandria database).

POSCAR file:
```
CrReAg2
1.0
4.7971 0.0000 0.0000
0.0000 4.7971 0.0000
0.0000 0.0000 2.8841
Re Cr Ag
1 1 2
Cartesian
0.0000 2.3986 1.4420
2.3986 0.0000 1.4420
0.0000 0.0000 0.0000
2.3986 2.3986 0.0000
```

Size of the total moment in μB per formula unit: 3.3
Fermi-level density of states in states/eV/cell: 4.6


Most stable to least stable, the ends of the list are version A and version B.